[1]
BaTa, relaxed, DFT PBE; polymorph energy (0 for the lowest one) = 841 meV per atom; ΔH_f (0 K) = 1361 meV per atom
1.0
5.420 0.000 0.000
2.710 4.694 0.000
2.710 1.565 4.425
Ba Ta
2 2
Direct
0.000 0.000 0.000 Ba
0.250 0.250 0.250 Ba
0.500 0.500 0.500 Ta
0.750 0.750 0.750 Ta

***

[2]
LiGaGeAu, relaxed, DFT PBE; ΔH_f (0 K) = -181 meV per atom
1.0
-3.776 -2.024 -1.692
-0.592 -4.543 0.484
-3.230 -1.610 2.863
Ge Au Ga Li
1 1 1 1
Direct
0.000 0.000 0.000 Ge
0.250 0.250 0.250 Au
0.750 0.750 0.750 Ga
0.500 0.500 0.500 Li

***

[3]
SiHgAu4, relaxed, DFT PBE; polymorph energy (0 for the lowest one) = 273 meV per atom; formation energy without anion corrections = 317 meV per atom
1.0
-1.912 2.213 4.709
-4.253 -2.370 2.650
0.841 -2.598 4.824
Si Hg Au
1 1 4
Direct
0.000 0.000 0.000 Si
0.750 0.750 0.750 Hg
0.375 0.875 0.375 Au
0.875 0.375 0.375 Au
0.375 0.375 0.875 Au
0.375 0.375 0.375 Au

***

[4]
Re5W, relaxed, DFT PBE; polymorph energy (0 for the lowest one) = 105 meV per atom; ΔH_f (0 K) = 189 meV per atom
1.0
-2.266 0.381 2.020
-2.938 -1.253 -3.059
2.154 -5.836 3.518
Re W
5 1
Direct
0.000 0.679 0.359 Re
0.000 0.321 0.641 Re
0.500 0.500 0.000 Re
0.500 0.155 0.309 Re
0.500 0.845 0.691 Re
0.000 0.000 0.000 W

***

[5]
Ag3HgOs, relaxed, DFT PBE; polymorph energy (0 for the lowest one) = 0 meV per atom; ΔH_f (0 K) = 1376 meV per atom
1.0
5.145 0.000 0.000
0.000 5.145 0.000
0.000 0.000 5.145
Os Hg Ag
1 1 3
Direct
0.000 0.000 0.000 Os
0.500 0.500 0.500 Hg
0.000 0.500 0.000 Ag
0.000 0.000 0.500 Ag
0.500 0.000 0.000 Ag

***

[6]
FeSbS2, relaxed, DFT PBE; formation energy without anion corrections = 221 meV per atom
1.0
2.294 0.000 7.391
-1.147 1.987 7.391
-1.147 -1.987 7.391
Sb S Fe
1 2 1
Direct
0.500 0.500 0.500 Sb
0.902 0.902 0.902 S
0.098 0.098 0.098 S
0.000 0.000 0.000 Fe

***

[7]
BH2I, relaxed, DFT PBE; polymorph energy (0 for the lowest one) = 1768 meV per atom
1.0
1.943 -0.749 3.325
-1.440 1.234 3.435
-1.437 -2.593 2.570
I H B
1 2 1
Direct
0.500 0.500 0.500 I
0.250 0.250 0.250 H
0.750 0.750 0.750 H
0.000 0.000 0.000 B

***

[8]
CoW2Se, relaxed, DFT PBE; formation energy without anion corrections = 699 meV per atom
1.0
-2.011 -0.200 -3.938
2.385 -0.641 -3.673
-0.256 -3.855 -2.161
Co Se W
1 1 2
Direct
0.500 0.500 0.500 Co
0.750 0.750 0.750 Se
0.000 0.000 0.000 W
0.250 0.250 0.250 W

***

[9]
PrSm4Tm4, relaxed, DFT PBE; polymorph energy (0 for the lowest one) = 0 meV per atom; ΔH_f (0 K) = 21 meV per atom
1.0
5.027 0.000 0.000
2.513 7.598 0.000
2.513 0.000 7.598
Pr Sm Tm
1 4 4
Direct
0.000 0.000 0.000 Pr
0.668 0.332 0.332 Sm
0.332 0.668 0.668 Sm
0.000 0.668 0.332 Sm
0.000 0.332 0.668 Sm
0.667 0.665 0.000 Tm
0.333 0.335 0.000 Tm
0.667 0.000 0.665 Tm
0.333 0.000 0.335 Tm

***

[10]
Tb4ZnAg3, relaxed, DFT PBE; polymorph energy (0 for the lowest one) = 0 meV per atom; ΔH_f (0 K) = -325 meV per atom
1.0
-2.807 0.138 -2.277
2.271 -0.171 -2.810
-0.869 -14.616 0.189
Zn Tb Ag
1 4 3
Direct
0.500 0.500 0.000 Zn
0.000 0.000 0.880 Tb
0.000 0.000 0.120 Tb
0.000 0.000 0.373 Tb
0.000 0.000 0.627 Tb
0.500 0.500 0.246 Ag
0.500 0.500 0.500 Ag
0.500 0.500 0.754 Ag

***

[11]
Mg2H6IrRu, relaxed, DFT PBE; final energy = -43.285 eV per cell
1.0
-0.985 -4.515 1.892
-1.517 -1.533 -4.509
4.414 2.023 0.575
Mg H Ir Ru
2 6 1 1
Direct
0.757 0.244 0.500 Mg
0.244 0.758 0.500 Mg
0.782 0.786 0.058 H
0.679 0.677 0.500 H
0.226 0.222 0.942 H
0.759 0.258 0.998 H
0.290 0.294 0.500 H
0.254 0.755 0.002 H
0.509 0.510 0.010 Ir
0.999 0.999 0.988 Ru

***

[12]
PuMnNiGe, relaxed, DFT PBE; ΔH_f (0 K) = -142 meV per atom
1.0
-0.976 3.683 -2.351
-0.542 -0.255 -4.437
-4.073 0.499 -1.790
Ni Ge Mn Pu
1 1 1 1
Direct
0.000 0.000 0.000 Ni
0.750 0.750 0.750 Ge
0.500 0.500 0.500 Mn
0.250 0.250 0.250 Pu

***

[13]
TiHgHRh2, relaxed, DFT PBE; final energy = -27.540 eV per cell
1.0
4.105 0.000 0.000
0.000 4.105 0.000
0.000 0.000 3.911
H Rh Hg Ti
1 2 1 1
Direct
0.000 0.000 0.000 H
0.000 0.500 0.000 Rh
0.500 0.000 0.000 Rh
0.500 0.500 0.500 Hg
0.000 0.000 0.500 Ti